[1]
Entry from Alexandria: an optimized crystal structure of K4Tm3SnSe8 (GGA-PBE).

DFT total energy = -4.60 eV/atom

Cell: 8.366 9.067 8.366 Å, 117.48 120.00 90.00°
Fractional positions:
K1 0.000 0.000 0.500
K2 0.500 0.000 0.500
K3 0.500 0.000 0.000
K4 0.000 0.000 0.000
Sn1 0.000 0.500 0.000
Tm1 0.500 0.500 0.500
Tm2 0.000 0.500 0.500
Tm3 0.500 0.500 0.000
Se1 0.764 0.298 0.034
Se2 0.236 0.702 0.472
Se3 0.764 0.298 0.528
Se4 0.734 0.703 0.469
Se5 0.730 0.702 0.966
Se6 0.236 0.702 0.966
Se7 0.266 0.297 0.531
Se8 0.270 0.298 0.034


[2]
Entry from Alexandria: an optimized crystal structure of Pm3CuSi2 (GGA-PBE).

energy above the lowest structure with this stoichiometry = 0.0000 eV/atom

Cell: 4.245 11.704 11.638 Å, 90.00 90.00 90.00°
Each line ends with the local moment (μB).
Fractional positions:
Si1 0.750 0.182 0.028  0.00
Si2 0.250 0.491 0.808  0.00
Si3 0.750 0.318 0.528  0.00
Si4 0.250 0.818 0.972  0.00
Si5 0.250 0.009 0.308  0.00
Si6 0.250 0.682 0.472  0.00
Si7 0.750 0.991 0.692  0.00
Si8 0.750 0.509 0.192  0.00
Cu1 0.750 0.867 0.869  0.02
Cu2 0.250 0.133 0.131  0.02
Cu3 0.250 0.367 0.631  0.02
Cu4 0.750 0.633 0.369  0.02
Pm1 0.250 0.123 0.560  0.11
Pm2 0.750 0.195 0.295  0.14
Pm3 0.250 0.805 0.705  0.14
Pm4 0.250 0.437 0.378  0.10
Pm5 0.750 0.563 0.622  0.10
Pm6 0.750 0.877 0.440  0.11
Pm7 0.250 0.377 0.060  0.11
Pm8 0.250 0.695 0.205  0.14
Pm9 0.750 0.305 0.795  0.14
Pm10 0.750 0.623 0.940  0.11
Pm11 0.750 0.937 0.122  0.10
Pm12 0.250 0.063 0.878  0.10


[3]
Entry from Alexandria: an optimized crystal structure of Al2CuOsO8 (GGA-PBE).

DFT total energy = -6.81 eV/atom

Cell: 4.492 4.492 5.944 Å, 89.47 90.53 92.41°
Each line ends with the local moment (μB).
Fractional positions:
O1 0.204 0.796 0.223  0.06
O2 0.693 0.693 0.500  0.01
O3 0.307 0.307 0.500  0.01
O4 0.195 0.805 0.765  0.06
O5 0.796 0.204 0.777  0.06
O6 0.307 0.307 0.000  0.00
O7 0.805 0.195 0.235  0.06
O8 0.693 0.693 0.000  0.00
Os1 0.000 0.000 0.000  -0.04
Al1 0.496 0.504 0.739  0.00
Al2 0.504 0.496 0.261  0.00
Cu1 0.000 0.000 0.500  0.38


[4]
Entry from Alexandria: an optimized crystal structure of Rb2HfTc3O12 (GGA-PBE).

DFT total energy = -7.47 eV/atom

Cell: 7.423 7.423 7.423 Å, 59.10 59.10 59.10°
Each line ends with the local moment (μB).
Fractional positions:
O1 0.308 0.932 0.308  0.02
O2 0.934 0.934 0.331  0.04
O3 0.932 0.308 0.308  0.02
O4 0.669 0.066 0.066  0.04
O5 0.308 0.308 0.932  0.02
O6 0.068 0.692 0.692  0.02
O7 0.692 0.068 0.692  0.02
O8 0.331 0.934 0.934  0.04
O9 0.692 0.692 0.068  0.02
O10 0.066 0.066 0.669  0.04
O11 0.066 0.669 0.066  0.04
O12 0.934 0.331 0.934  0.04
Hf1 0.000 0.000 0.000  0.01
Rb1 0.381 0.381 0.381  0.00
Rb2 0.619 0.619 0.619  0.00
Tc1 0.500 0.000 0.000  0.34
Tc2 0.000 0.000 0.500  0.34
Tc3 0.000 0.500 0.000  0.34


[5]
Entry from Alexandria: an optimized crystal structure of Pa3Te4Pd (GGA-PBE).

DFT total energy = -6.24 eV/atom

Cell: 6.222 7.723 9.693 Å, 90.00 90.00 90.00°
Each line ends with the local moment (μB).
Fractional positions:
Pa1 0.608 0.338 0.816  0.23
Pa2 0.108 0.662 0.316  0.23
Pa3 0.108 0.662 0.684  0.23
Pa4 0.608 0.338 0.184  0.23
Pa5 0.571 0.605 0.000  0.34
Pa6 0.071 0.395 0.500  0.34
Pd1 0.923 0.090 0.000  -0.01
Pd2 0.423 0.910 0.500  -0.01
Te1 0.016 0.978 0.500  -0.01
Te2 0.612 0.712 0.304  -0.01
Te3 0.112 0.288 0.196  -0.01
Te4 0.564 0.255 0.500  -0.01
Te5 0.516 0.022 0.000  -0.01
Te6 0.612 0.712 0.696  -0.01
Te7 0.064 0.745 0.000  -0.01
Te8 0.112 0.288 0.804  -0.01


[6]
Entry from Alexandria: an optimized crystal structure of Ce2Si2Br (GGA-PBE).

DFT total energy = -5.80 eV/atom

Cell: 3.913 7.979 9.458 Å, 114.95 101.94 90.00°
Each line ends with the local moment (μB).
Fractional positions:
Ce1 0.353 0.353 0.706  0.84
Ce2 0.353 0.853 0.706  0.84
Ce3 0.647 0.147 0.294  0.84
Ce4 0.647 0.647 0.294  0.84
Si1 0.209 0.959 0.418  -0.01
Si2 0.791 0.541 0.582  -0.01
Si3 0.209 0.459 0.418  -0.01
Si4 0.791 0.041 0.582  -0.01
Br1 0.499 0.250 0.000  -0.01
Br2 0.501 0.750 0.000  -0.01


[7]
Entry from Alexandria: an optimized crystal structure of Tb12Co5Sn (GGA-PBE).

E_form = -4.8 eV/f.u.

Cell: 8.321 8.321 8.321 Å, 107.14 110.82 110.47°
Fractional positions:
Tb1 0.694 0.314 0.008
Tb2 0.892 0.186 0.706
Tb3 0.192 0.987 0.794
Tb4 0.480 0.186 0.294
Tb5 0.520 0.814 0.706
Tb6 0.808 0.602 0.794
Tb7 0.808 0.013 0.206
Tb8 0.694 0.686 0.380
Tb9 0.108 0.814 0.294
Tb10 0.192 0.398 0.206
Tb11 0.306 0.314 0.620
Tb12 0.306 0.686 0.992
Co1 0.500 0.112 0.612
Co2 0.621 0.621 0.000
Co3 0.500 0.888 0.388
Co4 0.379 0.379 0.000
Co5 0.000 0.000 0.000
Sn1 0.000 0.500 0.500


[8]
Entry from Alexandria: an optimized crystal structure of GaCuGe (GGA-PBE).

E_form = 0.3 eV/f.u.

Cell: 6.007 4.554 4.246 Å, 90.72 72.12 68.78°
Fractional positions:
Ga1 0.499 0.884 0.496
Ga2 0.865 0.437 0.954
Ge1 0.021 0.833 0.639
Ge2 0.396 0.349 0.111
Cu1 0.188 0.956 0.079
Cu2 0.693 0.289 0.510


[9]
Entry from Alexandria: an optimized crystal structure of BaZnAg (GGA-PBE).

E_form = -0.7 eV/f.u.

Cell: 4.774 4.774 4.507 Å, 90.00 90.00 120.00°
Fractional positions:
Ba1 0.667 0.333 0.334
Ag1 0.000 0.000 0.833
Zn1 0.333 0.667 0.833


[10]
Entry from Alexandria: an optimized crystal structure of Th2TlP (GGA-PBE).

energy above the lowest structure with this stoichiometry = 0.0000 eV/atom
E_form = -3.1 eV/f.u.

Cell: 4.014 4.014 8.637 Å, 76.56 76.56 60.00°
Fractional positions:
P1 0.000 0.000 0.000
Th1 0.733 0.733 0.800
Th2 0.267 0.267 0.200
Tl1 0.500 0.500 0.500


[11]
Entry from Alexandria: an optimized crystal structure of BC5 (GGA-PBE).

energy above the lowest structure with this stoichiometry = 0.0438 eV/atom
E_form = 1.5 eV/f.u.

Cell: 6.842 6.924 6.924 Å, 159.11 141.59 44.19°
Fractional positions:
C1 0.624 0.626 0.997
C2 0.130 0.464 0.666
C3 0.001 0.665 0.336
C4 0.500 0.167 0.332
C5 0.487 0.507 0.980
C6 0.138 0.785 0.354
C7 0.008 0.003 0.005
C8 0.617 0.288 0.329
C9 0.125 0.124 0.001
C10 0.495 0.828 0.668
B1 0.630 0.955 0.675
B2 0.995 0.337 0.658


[12]
Entry from Alexandria: an optimized crystal structure of LiTa2Rh (GGA-PBE).

E_form = 0.6 eV/f.u.

Cell: 4.485 4.485 4.485 Å, 60.00 60.00 60.00°
Each line ends with the local moment (μB).
Fractional positions:
Li1 0.500 0.500 0.500  0.00
Rh1 0.750 0.750 0.750  0.26
Ta1 0.250 0.250 0.250  0.91
Ta2 0.000 0.000 0.000  0.27


[13]
Entry from Alexandria: an optimized crystal structure of Cs2BiAsBr6 (GGA-PBE).

DFT total energy = -2.98 eV/atom

Cell: 8.093 8.093 8.141 Å, 60.20 60.20 90.00°
Fractional positions:
Bi1 0.000 0.000 0.000
Cs1 0.750 0.250 0.500
Cs2 0.250 0.750 0.500
Br1 0.742 0.258 0.000
Br2 0.256 0.256 0.488
Br3 0.258 0.742 0.000
Br4 0.742 0.742 0.000
Br5 0.258 0.258 0.000
Br6 0.744 0.744 0.512
As1 0.500 0.500 0.000


[14]
Entry from Alexandria: an optimized crystal structure of ZrMoAs (GGA-PBE).

E_form = -0.2 eV/f.u.

Cell: 4.361 4.361 4.361 Å, 60.00 60.00 60.00°
Fractional positions:
Zr1 0.500 0.500 0.500
As1 0.750 0.750 0.750
Mo1 0.000 0.000 0.000


[15]
Entry from Alexandria: an optimized crystal structure of TcNi2W (GGA-PBE).

energy above the lowest structure with this stoichiometry = 0.2069 eV/atom
E_form = 0.7 eV/f.u.

Cell: 3.186 3.186 5.198 Å, 90.00 90.00 90.00°
Fractional positions:
W1 0.500 0.500 0.750
Ni1 0.000 0.000 0.503
Ni2 0.000 0.000 0.997
Tc1 0.500 0.500 0.250


[16]
Entry from Alexandria: an optimized crystal structure of Tb8Sm2Th (GGA-PBE).

energy above the lowest structure with this stoichiometry = 0.1664 eV/atom
E_form = 2.1 eV/f.u.

Cell: 5.610 10.222 10.222 Å, 39.23 93.58 93.58°
Fractional positions:
Tb1 0.273 0.610 0.132
Tb2 0.225 0.183 0.183
Tb3 0.231 0.548 0.548
Tb4 0.775 0.817 0.817
Tb5 0.769 0.452 0.452
Tb6 0.727 0.868 0.390
Tb7 0.727 0.390 0.868
Tb8 0.273 0.132 0.610
Th1 0.000 0.000 0.000
Sm1 0.746 0.282 0.282
Sm2 0.254 0.718 0.718


[17]
Entry from Alexandria: an optimized crystal structure of BC3 (GGA-PBE).

energy above the lowest structure with this stoichiometry = 0.2187 eV/atom
E_form = 1.8 eV/f.u.

Cell: 6.731 2.596 5.842 Å, 90.00 90.00 90.00°
Fractional positions:
B1 0.000 0.000 0.361
B2 0.500 0.000 0.861
B3 0.500 0.500 0.361
B4 0.000 0.500 0.861
C1 0.191 0.500 0.671
C2 0.691 0.000 0.671
C3 0.809 0.500 0.671
C4 0.309 0.000 0.671
C5 0.500 0.500 0.013
C6 0.691 0.500 0.171
C7 0.809 0.000 0.171
C8 0.309 0.500 0.171
C9 0.500 0.000 0.513
C10 0.000 0.500 0.513
C11 0.000 0.000 0.013
C12 0.191 0.000 0.171


[18]
Entry from Alexandria: an optimized crystal structure of Zr4CN (GGA-PBE).

energy above the lowest structure with this stoichiometry = 0.0037 eV/atom

Cell: 6.623 6.622 6.606 Å, 120.08 120.09 90.00°
Fractional positions:
Zr1 0.745 0.758 0.491
Zr2 0.736 0.245 0.990
Zr3 0.254 0.245 0.990
Zr4 0.264 0.755 0.010
Zr5 0.255 0.242 0.509
Zr6 0.746 0.755 0.010
Zr7 0.255 0.768 0.509
Zr8 0.745 0.232 0.491
C1 0.500 0.500 0.000
C2 0.500 0.000 0.000
N1 0.000 0.000 0.500
N2 0.500 0.000 0.500


Volume (computed, Å³/cell): 465.1, 578.3, 119.8, 283.2, 465.7, 260.7, 443.0, 102.0, 88.9, 116.1, 72.5, 63.8, 379.2, 58.6, 52.8, 369.8, 102.1, 204.3